#A
Compound: MgCoRh
Source: the Alexandria database
Functional: PBE
Structure: optimized geometry

It has space group Imma (No. 74), with a = 4.728 Å, b = 5.348 Å, c = 7.015 Å, α = 90.00°, β = 90.00° and γ = 90.00°. The inequivalent atoms are Mg at (0.000, 0.250, 0.124), Co at (0.250, 0.250, 0.750) and Rh at (0.000, 0.000, 0.500).

As for the total magnetic moment: 1.59 μB/f.u. The crystal system is orthorhombic. The calculation puts the density of states at the Fermi level at 1.271 states/eV per atom.

#B
Compound: MgCoRh
Source: the Alexandria database
Functional: PBE
Structure: optimized geometry

It has space group I4mm (No. 107), with a = 3.014 Å, b = 3.014 Å, c = 9.399 Å, α = 90.00°, β = 90.00° and γ = 90.00°. The inequivalent atoms are Mg at (0.000, 0.000, 0.000), Co at (0.000, 0.000, 0.325) and Rh at (0.000, 0.000, 0.679).

As for the total magnetic moment: 2.34 μB/f.u. The crystal system is tetragonal. The calculation puts the density of states at the Fermi level at 0.877 states/eV per atom.

Result of the stability comparison: #A is the most stable of them.

#A
Compound: MgCo2Rh2
Source: the Alexandria database
Functional: PBE
Structure: optimized geometry

It has space group I4/mmm (No. 139), with a = 4.052 Å, b = 4.052 Å, c = 9.534 Å, α = 90.00°, β = 90.00° and γ = 90.00°. The inequivalent atoms are Mg at (0.000, 0.000, 0.000), Co at (0.000, 0.000, 0.388) and Rh at (0.000, 0.500, 0.250).

As for the total magnetic moment: 5.13 μB/f.u. The crystal system is tetragonal. The calculation puts the density of states at the Fermi level at 1.245 states/eV per atom.

#B
Compound: MgCo2Rh2
Source: the Alexandria database
Functional: PBE
Structure: optimized geometry

It has space group I4/mmm (No. 139), with a = 3.315 Å, b = 3.315 Å, c = 13.305 Å, α = 90.00°, β = 90.00° and γ = 90.00°. The inequivalent atoms are Mg at (0.000, 0.000, 0.000), Co at (0.000, 0.500, 0.250) and Rh at (0.000, 0.000, 0.395).

As for the total magnetic moment: 4.70 μB/f.u. The crystal system is tetragonal. The calculation puts the density of states at the Fermi level at 1.077 states/eV per atom.

Result of the stability comparison: #B is the most stable of them.

#A
Compound: MgZrCoRh
Source: the Alexandria database
Functional: PBE
Structure: optimized geometry

It has space group P4mm (No. 99), with a = 3.211 Å, b = 3.211 Å, c = 6.154 Å, α = 90.00°, β = 90.00° and γ = 90.00°. The inequivalent atoms are Mg at (0.000, 0.000, 0.000), Zr at (0.000, 0.000, 0.483), Co at (0.500, 0.500, 0.252) and Rh at (0.500, 0.500, 0.747).

As for the total magnetic moment: 0.00 μB/f.u. The crystal system is tetragonal. The calculation puts the density of states at the Fermi level at 0.496 states/eV per atom.

#B
Compound: MgZrCoRh
Source: the Alexandria database
Functional: PBE
Structure: optimized geometry

It has space group F-43m (No. 216), with a = 6.312 Å, b = 6.312 Å, c = 6.312 Å, α = 90.00°, β = 90.00° and γ = 90.00°. The inequivalent atoms are Mg at (0.000, 0.000, 0.000), Zr at (0.000, 0.000, 0.500), Co at (0.250, 0.250, 0.250) and Rh at (0.250, 0.250, 0.750).

As for the total magnetic moment: 0.00 μB/f.u. The crystal system is cubic. The calculation puts the density of states at the Fermi level at 0.308 states/eV per atom.

Result of the stability comparison: #B is the most stable of them.